No. 1
Entry from the Alexandria database: a relaxed NdCdBiSe crystal (PBE-GGA).

Output
E_form (uncorrected) = -315 kJ/mol of formula units

Cell and atoms, written as extended XYZ:
```
8
Lattice="-0.8727 4.1557 -2.3589 -4.2824 -1.7441 -1.4882 -4.2464 3.6298 7.9655" Properties=species:S:1:pos:R:3 pbc="T T T"
Cd -2.5776 1.2058 -1.9236
Cd 0.0000 0.0000 0.0000
Bi -1.2894 2.8071 0.4208
Bi -5.5345 2.0286 5.6211
Se -2.1232 1.8149 3.9828
Se -4.7008 3.0207 2.0592
Nd -3.5481 0.3305 1.8949
Nd -3.2759 4.5051 4.1471
```

=====

No. 2
Entry from the Alexandria database: a relaxed NdSmCdBi crystal (PBE-GGA).

Cell and atoms, written as extended XYZ:
```
4
Lattice="-2.3351 -3.4164 -3.6239 2.3334 -4.8587 -1.0977 -2.3757 -4.6471 1.7371" Properties=species:S:1:pos:R:3 pbc="T T T"
Bi -0.5943 -3.2305 -0.7461
Cd -1.7830 -9.6916 -2.2383
Sm -1.1887 -6.4611 -1.4922
Nd 0.0000 0.0000 0.0000
```

=====

No. 3
Entry from the Alexandria database: a relaxed NdCdSnBi crystal (PBE-GGA).

Cell and atoms, written as extended XYZ:
```
4
Lattice="-2.3560 3.2479 2.0988 -0.3984 -2.9013 4.0426 4.1792 1.8893 1.7677" Properties=species:S:1:pos:R:3 pbc="T T T"
Cd 0.0000 0.0000 0.0000
Bi 0.9116 2.5686 1.9333
Sn -1.3772 0.1733 3.0707
Nd 1.8904 -0.5060 2.9052
```

=====

No. 4
Entry from the Alexandria database: a relaxed SrNdCdBi crystal (PBE-GGA).

Cell and atoms, written as extended XYZ:
```
4
Lattice="-3.2369 1.3667 -4.4263 -5.1387 -2.2854 -0.5555 -4.6061 3.1884 0.7452" Properties=species:S:1:pos:R:3 pbc="T T T"
Nd -6.4908 1.1348 -2.1183
Sr 0.0000 0.0000 0.0000
Bi -3.2454 0.5674 -1.0591
Cd -9.7363 1.7023 -3.1774
```

=====

No. 5
Entry from the Alexandria database: a relaxed NdTmCdBi crystal (PBE-GGA).

Cell and atoms, written as extended XYZ:
```
4
Lattice="-4.1969 -2.3766 2.5216 0.1730 -5.3167 1.1505 0.5075 -1.6524 5.1607" Properties=species:S:1:pos:R:3 pbc="T T T"
Bi -0.8791 -2.3364 2.2082
Cd -2.6373 -7.0092 6.6247
Tm -1.7582 -4.6728 4.4164
Nd 0.0000 0.0000 0.0000
```

=====

No. 6
Entry from the Alexandria database: a relaxed NdYCdBi crystal (PBE-GGA).

Cell and atoms, written as extended XYZ:
```
4
Lattice="5.4645 0.0000 0.0000 2.7322 4.7324 0.0000 2.7322 1.5775 4.4617" Properties=species:S:1:pos:R:3 pbc="T T T"
Nd 2.7322 1.5775 1.1154
Y 8.1967 4.7324 3.3463
Bi 5.4645 3.1549 2.2309
Cd 0.0000 0.0000 0.0000
```

=====

Number 1: E -32.6 eV per cell, Fermi-level density of states 1.2 states/eV/cell. Number 2: E -16.2 eV per cell, Fermi-level density of states 2.9 states/eV/cell. Number 3: E -15.4 eV per cell, Fermi-level density of states 1.7 states/eV/cell. Number 4: E -13.1 eV per cell, Fermi-level density of states 4.6 states/eV/cell. Number 5: E -15.7 eV per cell, Fermi-level density of states 4.3 states/eV/cell. Number 6: E -17.9 eV per cell, Fermi-level density of states 3.5 states/eV/cell.